Entry 1:
# NaZr3Ag PBE relaxed
data_NaZr3Ag
_chemical_formula_sum 'Na1 Zr3 Ag1'
_symmetry_space_group_name_H-M 'P m -3 m'
_symmetry_Int_Tables_number 221
_symmetry_space_group_name_Hall '-P 4 2 3'
_cell_length_a 5.2628
_cell_length_b 5.2628
_cell_length_c 5.2628
_cell_angle_alpha 90.00
_cell_angle_beta 90.00
_cell_angle_gamma 90.00
loop_
_atom_site_label
_atom_site_fract_x
_atom_site_fract_y
_atom_site_fract_z
Na1 0.0000 0.0000 0.0000
Zr1 0.0000 0.5000 0.5000
Ag1 0.5000 0.5000 0.5000
# M_tot = 0.006 μB/f.u.
# uncorrected energy = -0.182 hartree per atom
# calculated formation energy = 1.02 eV per atom
# E above lowest polymorph = 0.000 eV/atom

Entry 2:
# Cs6Rb12Sr PBE relaxed
data_Cs6Rb12Sr
_chemical_formula_sum 'Cs18 Rb36 Sr3'
_symmetry_space_group_name_H-M 'R -3'
_symmetry_Int_Tables_number 148
_symmetry_space_group_name_Hall '-R 3'
_cell_length_a 14.8571
_cell_length_b 14.8571
_cell_length_c 28.8366
_cell_angle_alpha 90.00
_cell_angle_beta 90.00
_cell_angle_gamma 120.00
loop_
_atom_site_label
_atom_site_fract_x
_atom_site_fract_y
_atom_site_fract_z
Cs1 0.0639 0.5323 0.3831
Rb1 0.1058 0.2138 0.4190
Rb2 0.1102 0.8882 0.1288
Sr1 0.0000 0.0000 0.0000
# M_tot = 0.000 μB/f.u.
# uncorrected energy = -0.034 hartree per atom
# calculated formation energy = 0.04 eV per atom

Entry 3:
# LaSmAu PBE relaxed
data_LaSmAu
_chemical_formula_sum 'La2 Sm2 Au2'
_symmetry_space_group_name_H-M 'I 4 m m'
_symmetry_Int_Tables_number 107
_symmetry_space_group_name_Hall 'I 4 -2'
_cell_length_a 3.7480
_cell_length_b 3.7480
_cell_length_c 12.6212
_cell_angle_alpha 90.00
_cell_angle_beta 90.00
_cell_angle_gamma 90.00
loop_
_atom_site_label
_atom_site_fract_x
_atom_site_fract_y
_atom_site_fract_z
La1 0.0000 0.0000 0.0000
Sm1 0.0000 0.0000 0.7127
Au1 0.0000 0.0000 0.3443
# M_tot = 0.746 μB/f.u.
# uncorrected energy = -0.177 hartree per atom
# calculated formation energy = -0.50 eV per atom
# E above lowest polymorph = 0.044 eV/atom